This record from Alexandria via LeMat-Bulk describes crystalline Cr3H2Ru2 at its relaxed geometry. The functional is PBE.

Cell lengths 2.6981, 4.8155, 7.0717 Å; angles 63.45, 67.62, 55.94 degrees
Last column: nearest neighbours and their distance in Å.
Element x y z (fractional)
Cr1 0.5000 0.0000 0.0000  4 H 1.85
Cr2 0.2950 0.7943 0.4100  2 H 1.86-1.87
Cr3 0.7050 0.2057 0.5900  2 H 1.86-1.87
H1 0.1029 0.1010 0.7965  4 Cr 1.85-1.87, 2 Ru 2.00
H2 0.8971 0.8990 0.2035  4 Cr 1.85-1.87, 2 Ru 2.00
Ru1 0.3890 0.3897 0.2207  2 H 2.00
Ru2 0.6110 0.6103 0.7793  2 H 2.00

Computed properties:
**Total DFT energy (no corrections)**: -7.68 eV/atom
**Crystal system**: monoclinic
**SG**: No. 10
**Spin magnetization**: 0.001 μB/f.u.